# PBE+U Sr2VMoO6, optimized geometry
# calculated volume	12.73	Å³/atom
# size of the total moment	3.00	μB/f.u.
# ΔE to the lowest computed polymorph	6	meV per atom
# calculated density	5.45	Mg/m³
data_Sr2VMoO6
_symmetry_space_group_name_H-M 'P -1'
_symmetry_Int_Tables_number 2
_symmetry_space_group_name_Hall '-P 1'
_cell_length_a 5.6311
_cell_length_b 5.6679
_cell_length_c 7.9769
_cell_angle_alpha 89.71
_cell_angle_beta 89.87
_cell_angle_gamma 89.92
loop_
_atom_site_label
_atom_site_fract_x
_atom_site_fract_y
_atom_site_fract_z
Sr1 0.0061 0.9998 0.2651
Sr2 0.4938 0.4967 0.7341
V1 0.0000 0.5000 0.5000
V2 0.5000 0.0000 0.5000
Mo1 0.0000 0.5000 0.0000
Mo2 0.5000 0.0000 0.0000
O1 0.0100 0.4675 0.7353
O2 0.2005 0.7991 0.9871
O3 0.2528 0.7475 0.5128
O4 0.2544 0.2398 0.4814
O5 0.2952 0.3056 0.0271
O6 0.4952 0.0358 0.7472